# 1
Below is a relaxed KNdS2 crystal, with properties calculated at the PBE level.

Unit cell a=4.171 b=4.171 c=7.954 alpha=74.80 beta=74.80 gamma=60.00
Fractional coordinates of all 4 atoms:
K: 0.497 0.497 0.508
Nd: 0.667 0.667 0.998
S: 0.069 0.069 0.792
S: 0.266 0.266 0.203

Energy relative to the elements, uncorrected, meV/atom: -1820
Magnetization, μB per formula unit: 0.00
Theoretical density, Mg/m³: 3.60
Uncorrected energy, eV per cell: -21.40
Crystal system: trigonal
Space-group type: R3m (160)



# 2
Below is a relaxed K5NdS4 crystal, with properties calculated at the PBE level.

Unit cell a=4.525 b=8.304 c=9.877 alpha=114.90 beta=103.24 gamma=90.00
Fractional coordinates of all 10 atoms:
K: 0.827 0.583 0.655
K: 0.828 0.073 0.655
K: 0.172 0.927 0.345
K: 0.500 0.500 0.000
K: 0.173 0.417 0.345
Nd: 0.500 0.000 0.000
S: 0.326 0.827 0.652
S: 0.000 0.771 0.000
S: 0.674 0.173 0.348
S: 0.000 0.229 0.000

Energy relative to the elements, uncorrected, meV/atom: -1279
Magnetization, μB per formula unit: 0.00
Theoretical density, Mg/m³: 2.39
Uncorrected energy, eV per cell: -39.55
Crystal system: monoclinic
Space-group type: C2/m (12)



# 3
Below is a relaxed K4Nd3SbS8 crystal, with properties calculated at the PBE level.

Unit cell a=8.348 b=8.816 c=8.348 alpha=118.27 beta=120.00 gamma=90.00
Fractional coordinates of all 16 atoms:
K: 0.500 0.000 0.000
K: 0.500 0.000 0.500
K: 0.000 0.000 0.000
K: 0.000 0.000 0.500
Nd: 0.500 0.500 0.000
Nd: 0.500 0.500 0.500
Nd: 0.000 0.500 0.500
Sb: 0.000 0.500 0.000
S: 0.233 0.706 0.973
S: 0.233 0.706 0.465
S: 0.264 0.292 0.528
S: 0.741 0.706 0.973
S: 0.259 0.294 0.027
S: 0.736 0.708 0.472
S: 0.767 0.294 0.535
S: 0.767 0.294 0.027

Energy relative to the elements, uncorrected, meV/atom: -1561
Magnetization, μB per formula unit: 0.00
Theoretical density, Mg/m³: 3.61
Uncorrected energy, eV per cell: -80.81
Crystal system: trigonal
Space-group type: R-3m (166)



# 4
Below is a relaxed K3Nd3ScS8 crystal, with properties calculated at the PBE level.

Unit cell a=8.195 b=8.199 c=8.868 alpha=117.58 beta=90.00 gamma=119.98
Fractional coordinates of all 15 atoms:
K: 0.000 0.000 0.000
K: 0.000 0.500 0.000
K: 0.500 0.500 0.000
Nd: 0.500 0.000 0.500
Nd: 0.500 0.500 0.500
Nd: 0.000 0.500 0.500
Sc: 0.000 0.000 0.500
S: 0.264 0.527 0.291
S: 0.736 0.473 0.709
S: 0.780 0.560 0.306
S: 0.220 0.440 0.694
S: 0.780 0.026 0.306
S: 0.220 0.974 0.694
S: 0.246 0.026 0.306
S: 0.754 0.974 0.694

Energy relative to the elements, uncorrected, meV/atom: -1715
Magnetization, μB per formula unit: 0.00
Theoretical density, Mg/m³: 3.24
Uncorrected energy, eV per cell: -82.68
Crystal system: monoclinic
Space-group type: C2/m (12)